The following is a GGA-PBEsol calculation of a geometry-optimized MgNiAu2 structure, from Alexandria.

DFT formation energy (kJ per mole of atoms): -26.86
Calculated volume (A^3/atom): 15.07

The structure in CIF format:
```
data_MgNiAu2
_symmetry_space_group_name_H-M 'I 4/m m m'
_symmetry_Int_Tables_number 139
_symmetry_space_group_name_Hall '-I 4 2'
_cell_length_a 4.0439
_cell_length_b 4.0439
_cell_length_c 7.3747
_cell_angle_alpha 90.00
_cell_angle_beta 90.00
_cell_angle_gamma 90.00
loop_
_atom_site_label
_atom_site_fract_x
_atom_site_fract_y
_atom_site_fract_z
Mg1 0.0000 0.0000 0.0000
Ni1 0.0000 0.0000 0.5000
Au1 0.0000 0.5000 0.2500
```